## AcMoC (GGA-PBE)

Data for a relaxed AcMoC crystal.

The density of states at the Fermi level comes out at 9.72 states/eV per cell. The value obtained for the calculated formation energy is 133 meV/atom. The calculation puts the total magnetization at 0.0000 μB/atom. The crystal system is monoclinic. The total energy comes out at -7.922 eV/atom.

The structure belongs to space group C2/m (No. 12); the cell edges are 12.712, 3.560 and 6.118 Å and the angles 90.00°, 113.13° and 90.00°. The distinct sites, in fractional coordinates, are Ac at (0.106, 0.000, 0.313), Mo at (0.172, 0.500, 0.852) and C at (0.240, 0.000, 0.782).